VASP calculation (GGA-PBE) on a relaxed Tm3AgC crystal.

Values from the calculation:
space group = Pm-3m, No. 221
E = -5.360 eV per atom
spin magnetization = 0.29 μB per cell

Cell: 4.8058 4.8058 4.8058 Å, 90.00 90.00 90.00°
With the nearest neighbours (Å) after each atom.
Fractional coordinates of all 5 atoms:
Tm: 0.0000 0.0000 0.5000  2 C 2.40
Tm: 0.0000 0.5000 0.0000  2 C 2.40
Tm: 0.5000 0.0000 0.0000  2 C 2.40
Ag: 0.5000 0.5000 0.5000  12 Tm 3.40
C: 0.0000 0.0000 0.0000  6 Tm 2.40


VASP calculation (GGA-PBE) on a relaxed La3Mg3Tl2Hg crystal.

Values from the calculation:
space group = P-62m, No. 189
E = -3.124 eV per atom
spin magnetization = 0.04 μB per cell

Cell: 7.7764 7.7764 4.7973 Å, 90.00 90.00 120.00°
With the nearest neighbours (Å) after each atom.
Fractional coordinates of all 9 atoms:
La: 0.0000 0.4174 0.0000  1 Hg 3.25, 4 Tl 3.35, 2 Mg 3.61
La: 0.4174 0.0000 0.0000  1 Hg 3.25, 4 Tl 3.35, 2 Mg 3.61
La: 0.5826 0.5826 0.0000  1 Hg 3.25, 4 Tl 3.35, 2 Mg 3.61
Mg: 0.0000 0.7641 0.5000  2 Hg 3.02, 2 Tl 3.04, 2 Mg 3.18
Mg: 0.2359 0.2359 0.5000  2 Hg 3.02, 2 Tl 3.04, 2 Mg 3.18
Mg: 0.7641 0.0000 0.5000  2 Hg 3.02, 2 Tl 3.04, 2 Mg 3.18
Tl: 0.3333 0.6667 0.5000  3 Mg 3.04, 6 La 3.35
Tl: 0.6667 0.3333 0.5000  3 Mg 3.04, 6 La 3.35
Hg: 0.0000 0.0000 0.0000  6 Mg 3.02, 3 La 3.25


Question: Among the records above, which one has the lowest spin magnetization?
Answer: La3Mg3Tl2Hg